# TlMoPbF6, relaxed, DFT PBE with a Hubbard U
# Magnetic moment = 0.333 μB per atom
# VASP energy = -5.06 eV/atom
# DOS(E_F) = 0.0000 states/eV/atom
data_TlMoPbF6
_cell_length_a 6.3413
_cell_length_b 6.3413
_cell_length_c 10.6436
_cell_angle_alpha 90.00
_cell_angle_beta 90.00
_cell_angle_gamma 120.00
_symmetry_space_group_name_H-M 'P -3 1 c'
_symmetry_Int_Tables_number 163
_symmetry_space_group_name_Hall '-P 3 2c'
loop_
_atom_site_label
_atom_site_type_symbol
_atom_site_fract_x
_atom_site_fract_y
_atom_site_fract_z
Tl1 Tl 0.0000 0.0000 0.0000
Mo1 Mo 0.3333 0.6667 0.2500
Pb1 Pb 0.3333 0.6667 0.7500
F1 F 0.0441 0.3922 0.1442